(1)
# Tb3Pr2Y7

Tb3Pr2Y7 after structural relaxation (PBE, Alexandria).

Calculated values
Its formation energy is 0.157 eV/atom. The size of the total moment comes out at 0.00 μB/cell. The calculation puts the excess energy over the best structure of this formula in the dataset at 80 kJ/mol of formula units.

Cell lengths 19.191, 19.191, 3.620 Å; angles 90.00, 90.00, 162.37 degrees
Fractional coordinates of all 12 atoms:
Tb1 0.000 0.000 0.000
Tb2 0.149 0.851 0.000
Tb3 0.851 0.149 0.000
Pr1 0.325 0.675 0.500
Pr2 0.675 0.325 0.500
Y1 0.072 0.928 0.500
Y2 0.228 0.772 0.500
Y3 0.412 0.588 0.000
Y4 0.500 0.500 0.500
Y5 0.588 0.412 0.000
Y6 0.772 0.228 0.500
Y7 0.928 0.072 0.500

(2)
# AcBrF

AcBrF after structural relaxation (PBE, Alexandria).

Calculated values
The size of the total moment comes out at 0.62 μB/cell. The calculation puts the uncorrected formation energy at -2.165 eV per atom. The calculation puts the excess energy over the best structure of this formula in the dataset at 130 kJ/mol of formula units.

Cell lengths 4.938, 4.938, 4.938 Å; angles 60.00, 60.00, 60.00 degrees
Fractional coordinates of all 3 atoms:
Ac1 0.000 0.000 0.000
Br1 0.750 0.750 0.750
F1 0.250 0.250 0.250

(3)
# Mn5Os

Mn5Os after structural relaxation (PBE, Alexandria).

Calculated values
Its formation energy is 0.062 eV/atom. The size of the total moment comes out at 0.91 μB/cell.

Cell lengths 2.610, 2.610, 10.610 Å; angles 90.00, 90.00, 90.00 degrees
Fractional coordinates of all 6 atoms:
Mn1 0.000 0.000 0.000
Mn2 0.000 0.000 0.326
Mn3 0.000 0.000 0.674
Mn4 0.500 0.500 0.162
Mn5 0.500 0.500 0.838
Os1 0.500 0.500 0.500